Record 1
DFT (PBE) results for a geometry-optimized VCdBPt2 structure.

The structure in extended XYZ format:
```
5
Lattice="4.229 0.000 0.000 0.000 4.229 0.000 0.000 0.000 4.175" Properties=species:S:1:pos:R:3 pbc="T T T"
V 0.000 0.000 0.000
Cd 2.115 2.115 0.000
B 0.000 0.000 2.088
Pt 0.000 2.115 2.088
Pt 2.115 0.000 2.088
```

* DFT formation energy: -3.95 kJ per mole of atoms
* space-group type: P4/mmm (123)

=====

Record 2
DFT (PBE) results for a geometry-optimized ZnCdB3 structure.

The structure in extended XYZ format:
```
5
Lattice="4.416 0.000 0.000 0.000 4.416 0.000 0.000 0.000 4.416" Properties=species:S:1:pos:R:3 pbc="T T T"
Zn 0.000 0.000 0.000
Cd 2.208 2.208 2.208
B 0.000 2.208 2.208
B 2.208 0.000 2.208
B 2.208 2.208 0.000
```

* DFT formation energy: 222.41 kJ per mole of atoms
* space-group type: Pm-3m (221)

=====

Record 3
DFT (PBE) results for a geometry-optimized Na2HfSeO6 structure.

The structure in extended XYZ format:
```
10
Lattice="5.331 0.000 0.000 0.000 5.331 0.000 0.000 0.000 4.376" Properties=species:S:1:pos:R:3 pbc="T T T"
Na 0.000 2.665 0.000
Na 2.665 0.000 0.000
Hf 0.000 0.000 2.369
Se 2.665 2.665 2.264
O 0.000 0.000 0.430
O 1.444 1.444 2.692
O 1.444 3.886 2.692
O 2.665 2.665 0.604
O 3.886 1.444 2.692
O 3.886 3.886 2.692
```

* space-group type: P4mm (99)

=====

| no. | DFT total energy (eV/cell) |
| --- | --- |
| 1 | -29.00 |
| 2 | -10.70 |
| 3 | -63.58 |